No. 1
Compound: LaAu4Cl
Source: the Alexandria database
Functional: PBE-GGA
Structure: relaxed

Calculated values
* total magnetic moment: 0.00 Bohr magnetons per cell
* E: -3.885 eV per atom
* mass density: 12.271 g cm⁻³
* space group: F-43m (216)
* N(E_F): 1.9 states/eV/f.u.

Lattice parameters (Å, degrees): 5.6892 5.6892 5.6892 60.00 60.00 60.00
Last column: nearest neighbours and their distance in Å.
Atoms (fractional coordinates):
La: 0.0000 0.0000 0.0000  12 Au 3.34, 4 Cl 3.48
Au: 0.1264 0.6245 0.6245  6 Au 2.83-2.86
Au: 0.6245 0.1264 0.6245  6 Au 2.83-2.86
Au: 0.6245 0.6245 0.1264  6 Au 2.83-2.86
Au: 0.6245 0.6245 0.6245  6 Au 2.83-2.86
Cl: 0.2500 0.2500 0.2500  12 Au 3.33, 4 La 3.48

No. 2
Compound: LiCrIrRu
Source: the Alexandria database
Functional: PBE-GGA
Structure: relaxed

Calculated values
* total magnetic moment: 0.00 Bohr magnetons per cell
* E: -7.510 eV per atom
* mass density: 11.671 g cm⁻³
* space group: F-43m (216)
* N(E_F): 2.4 states/eV/f.u.
* formation energy: -91 meV per atom

Lattice parameters (Å, degrees): 5.8525 5.8525 5.8525 90.00 90.00 90.00
Last column: nearest neighbours and their distance in Å.
Atoms (fractional coordinates):
Li: 0.0000 0.0000 0.0000  4 Ru 2.53, 4 Ir 2.53
Li: 0.0000 0.5000 0.5000  4 Ru 2.53, 4 Ir 2.53
Li: 0.5000 0.0000 0.5000  4 Ru 2.53, 4 Ir 2.53
Li: 0.5000 0.5000 0.0000  4 Ru 2.53, 4 Ir 2.53
Cr: 0.0000 0.0000 0.5000  4 Ru 2.53, 4 Ir 2.53
Cr: 0.0000 0.5000 0.0000  4 Ru 2.53, 4 Ir 2.53
Cr: 0.5000 0.0000 0.0000  4 Ru 2.53, 4 Ir 2.53
Cr: 0.5000 0.5000 0.5000  4 Ru 2.53, 4 Ir 2.53
Ir: 0.2500 0.2500 0.2500  4 Cr 2.53, 4 Li 2.53
Ir: 0.2500 0.7500 0.7500  4 Cr 2.53, 4 Li 2.53
Ir: 0.7500 0.2500 0.7500  4 Cr 2.53, 4 Li 2.53
Ir: 0.7500 0.7500 0.2500  4 Cr 2.53, 4 Li 2.53
Ru: 0.2500 0.2500 0.7500  4 Cr 2.53, 4 Li 2.53
Ru: 0.2500 0.7500 0.2500  4 Cr 2.53, 4 Li 2.53
Ru: 0.7500 0.2500 0.2500  4 Cr 2.53, 4 Li 2.53
Ru: 0.7500 0.7500 0.7500  4 Cr 2.53, 4 Li 2.53

No. 3
Compound: Ho2Ga3Ru
Source: the Alexandria database
Functional: PBE-GGA
Structure: relaxed

Calculated values
* total magnetic moment: 0.00 Bohr magnetons per cell
* E: -5.175 eV per atom
* mass density: 9.492 g cm⁻³
* space group: R-3m (166)
* N(E_F): 4.0 states/eV/f.u.
* formation energy: -589 meV per atom

Lattice parameters (Å, degrees): 5.3778 5.3778 5.3778 60.83 60.83 60.83
Last column: nearest neighbours and their distance in Å.
Atoms (fractional coordinates):
Ho: 0.1269 0.1269 0.1269  9 Ga 3.13-3.19, 3 Ru 3.19, 4 Ho 3.31-3.32
Ho: 0.8731 0.8731 0.8731  9 Ga 3.13-3.19, 3 Ru 3.19, 4 Ho 3.31-3.32
Ga: 0.0000 0.5000 0.5000  2 Ru 2.69, 4 Ga 2.72
Ga: 0.5000 0.0000 0.5000  2 Ru 2.69, 4 Ga 2.72
Ga: 0.5000 0.5000 0.0000  2 Ru 2.69, 4 Ga 2.72
Ru: 0.5000 0.5000 0.5000  6 Ga 2.69

No. 4
Compound: Hf4PbSe
Source: the Alexandria database
Functional: PBE-GGA
Structure: relaxed

Calculated values
* total magnetic moment: 0.00 Bohr magnetons per cell
* E: -7.955 eV per atom
* mass density: 12.051 g cm⁻³
* space group: P-1 (2)
* N(E_F): 4.5 states/eV/f.u.

Lattice parameters (Å, degrees): 6.1013 6.3849 7.9744 104.95 112.48 90.03
Last column: nearest neighbours and their distance in Å.
Atoms (fractional coordinates):
Hf: 0.0049 0.4589 0.1748  1 Se 2.55
Hf: 0.1706 0.9575 0.1742  1 Se 2.55
Hf: 0.1934 0.8962 0.6312  2 Se 2.56-2.62
Hf: 0.4371 0.3954 0.6309  2 Se 2.56-2.62
Hf: 0.5629 0.6046 0.3691  2 Se 2.56-2.62
Hf: 0.8066 0.1038 0.3688  2 Se 2.56-2.62
Hf: 0.8294 0.0425 0.8258  1 Se 2.55
Hf: 0.9951 0.5411 0.8252  1 Se 2.55
Pb: 0.4113 0.2502 0.0002  6 Hf 3.02-3.37, 2 Pb 3.37
Pb: 0.5887 0.7498 0.9998  6 Hf 3.02-3.37, 2 Pb 3.37
Se: 0.0000 0.5000 0.5000  6 Hf 2.55-2.62
Se: 0.5000 0.0000 0.5000  6 Hf 2.55-2.62